Rb2CaH6Au2: optimized geometry, PBE.

The structure in POSCAR format:
```
Rb2CaH6Au2
1.0
5.277 -2.928 0.000
5.277 2.928 0.000
-3.386 0.000 6.371
Rb Ca H Au
2 1 6 2
direct
0.216 0.216 0.140
0.784 0.784 0.860
0.000 0.000 0.500
0.187 0.747 0.739
0.242 0.242 0.729
0.253 0.813 0.261
0.747 0.187 0.739
0.758 0.758 0.271
0.813 0.253 0.261
0.425 0.425 0.728
0.575 0.575 0.272
```

Results
Raw total energy: -3.02 eV per atom
Space group: C2/m
Spin magnetization: 0.00 μB per formula unit



RbCaH2Au: optimized geometry, PBE.

The structure in POSCAR format:
```
RbCaH2Au
1.0
4.690 0.000 0.000
0.000 4.690 0.000
0.000 0.000 6.178
Rb Ca H Au
1 1 2 1
direct
0.000 0.000 0.000
0.500 0.500 0.500
0.000 0.500 0.000
0.500 0.000 0.000
0.000 0.000 0.500
```

Results
Raw total energy: -2.20 eV per atom
Space group: P4/mmm
Spin magnetization: 0.00 μB per formula unit



Ca2HRhAu: optimized geometry, PBE.

The structure in POSCAR format:
```
Ca2HRhAu
1.0
5.003 0.000 0.000
0.000 5.003 0.000
0.000 0.000 3.632
Ca H Rh Au
2 1 1 1
direct
0.000 0.500 0.000
0.500 0.000 0.000
0.000 0.000 0.000
0.000 0.000 0.500
0.500 0.500 0.500
```

Results
Raw total energy: -4.21 eV per atom
Space group: P4/mmm
Spin magnetization: 0.00 μB per formula unit



Ca2SbHAu: optimized geometry, PBE.

The structure in POSCAR format:
```
Ca2SbHAu
1.0
5.145 0.000 0.000
0.000 5.145 0.000
0.000 0.000 4.032
Ca Sb H Au
2 1 1 1
direct
0.000 0.500 0.000
0.500 0.000 0.000
0.000 0.000 0.500
0.500 0.500 0.000
0.500 0.500 0.500
```

Results
Raw total energy: -3.64 eV per atom
Space group: P4/mmm
Spin magnetization: 0.00 μB per formula unit



CaSc2HAu: optimized geometry, PBE.

The structure in POSCAR format:
```
CaSc2HAu
1.0
4.365 0.000 0.000
0.000 4.365 0.000
0.000 0.000 4.960
Ca Sc H Au
1 2 1 1
direct
0.000 0.000 0.000
0.000 0.500 0.500
0.500 0.000 0.500
0.000 0.000 0.500
0.500 0.500 0.000
```

Results
Raw total energy: -4.60 eV per atom
Space group: P4/mmm
Spin magnetization: 1.60 μB per formula unit



CaSi2HAu: optimized geometry, PBE.

The structure in POSCAR format:
```
CaSi2HAu
1.0
4.262 0.000 0.000
0.000 4.262 0.000
0.000 0.000 4.290
Ca Si H Au
1 2 1 1
direct
0.000 0.000 0.000
0.000 0.500 0.500
0.500 0.000 0.500
0.000 0.000 0.500
0.500 0.500 0.000
```

Results
Raw total energy: -3.83 eV per atom
Space group: P4/mmm
Spin magnetization: 0.00 μB per formula unit



Sr2CaHAu: optimized geometry, PBE.

The structure in POSCAR format:
```
Sr2CaHAu
1.0
5.356 0.000 0.000
0.000 5.356 0.000
0.000 0.000 4.694
Sr Ca H Au
2 1 1 1
direct
0.000 0.500 0.000
0.500 0.000 0.000
0.000 0.000 0.500
0.000 0.000 0.000
0.500 0.500 0.500
```

Results
Raw total energy: -2.74 eV per atom
Space group: P4/mmm
Spin magnetization: 0.00 μB per formula unit



Ca2TlHAu: optimized geometry, PBE.

The structure in POSCAR format:
```
Ca2TlHAu
1.0
5.257 0.000 0.000
0.000 5.257 0.000
0.000 0.000 3.876
Ca Tl H Au
2 1 1 1
direct
0.000 0.500 0.000
0.500 0.000 0.000
0.000 0.000 0.500
0.500 0.500 0.000
0.500 0.500 0.500
```

Results
Raw total energy: -3.09 eV per atom
Space group: P4/mmm
Spin magnetization: 0.00 μB per formula unit



CaHf2Au: optimized geometry, PBE.

The structure in POSCAR format:
```
CaHf2Au
1.0
-4.134 4.134 2.986
4.134 -4.134 2.986
4.134 4.134 -2.986
Ca Hf Au
2 4 2
direct
0.000 0.000 0.000
0.750 0.250 0.500
0.185 0.625 0.060
0.375 0.435 0.560
0.565 0.125 0.940
0.875 0.815 0.440
0.250 0.750 0.500
0.500 0.500 0.000
```

Results
Raw total energy: -6.11 eV per atom
Space group: I-42d
Formation enthalpy at 0 K: 0.19 eV/atom
Spin magnetization: 0.00 μB per formula unit



Ca3HfAu: optimized geometry, PBE.

The structure in POSCAR format:
```
Ca3HfAu
1.0
5.599 0.000 0.000
0.000 5.599 0.000
0.000 0.000 5.599
Ca Hf Au
3 1 1
direct
0.000 0.000 0.500
0.000 0.500 0.000
0.500 0.000 0.000
0.500 0.500 0.500
0.000 0.000 0.000
```

Results
Raw total energy: -3.53 eV per atom
Space group: Pm-3m
Energy above the lowest structure with this stoichiometry: 0 meV per atom
Formation enthalpy at 0 K: 0.32 eV/atom
Spin magnetization: 2.21 μB per formula unit



Ca3HfAu: optimized geometry, PBE.

The structure in POSCAR format:
```
Ca3HfAu
1.0
5.801 0.000 0.000
0.000 5.801 0.000
0.000 0.000 5.801
Ca Hf Au
3 1 1
direct
0.000 0.000 0.500
0.000 0.500 0.000
0.500 0.000 0.000
0.000 0.000 0.000
0.500 0.500 0.500
```

Results
Raw total energy: -2.82 eV per atom
Space group: Pm-3m
Energy above the lowest structure with this stoichiometry: 709 meV per atom
Formation enthalpy at 0 K: 1.03 eV/atom
Spin magnetization: 3.03 μB per formula unit



CaHfAu3: optimized geometry, PBE.

The structure in POSCAR format:
```
CaHfAu3
1.0
5.212 0.000 0.000
0.000 5.212 0.000
0.000 0.000 5.212
Ca Hf Au
1 1 3
direct
0.000 0.000 0.000
0.500 0.500 0.500
0.000 0.500 0.500
0.500 0.000 0.500
0.500 0.500 0.000
```

Results
Raw total energy: -4.41 eV per atom
Space group: Pm-3m
Energy above the lowest structure with this stoichiometry: 0 meV per atom
Formation enthalpy at 0 K: -0.06 eV/atom
Spin magnetization: 0.00 μB per formula unit



- Number 2 is which compound?
  RbCaH2Au